First-principles (PBE-GGA) data for an optimized crystal structure of ErHf2ScP4, as listed in Alexandria.

a = 6.5148 Å, b = 3.7606 Å, c = 6.5868 Å
α = 90.00°, β = 109.33°, γ = 90.00°
Space group P2/m (No. 10)
One atom of each set of equivalent atoms:
Er  0.0000  0.0000  0.0000 [1 per cell]
Hf  0.0000  0.5000  0.5000 [1 per cell]
Hf  0.5000  0.0000  0.5000 [1 per cell]
Sc  0.5000  0.5000  0.0000 [1 per cell]
P  0.2528  0.0000  0.7430 [2 per cell]
P  0.2587  0.5000  0.2610 [2 per cell]

- spin magnetization (μB/f.u.) = 0.00
- energy relative to the elements (eV/atom) = -1.418

First-principles (PBE-GGA) data for an optimized crystal structure of CsCuSi2, as listed in Alexandria.

a = 4.3735 Å, b = 5.5510 Å, c = 8.9377 Å
α = 78.50°, β = 87.08°, γ = 77.03°
Space group P-1 (No. 2)
One atom of each set of equivalent atoms:
Cs  0.2369  0.2045  0.1363 [2 per cell]
Cu  0.0692  0.6835  0.3992 [2 per cell]
Si  0.2666  0.9332  0.5538 [2 per cell]
Si  0.3828  0.4734  0.6361 [2 per cell]

- spin magnetization (μB/f.u.) = 0.00
- ΔE_f (raw) (eV per atom) = 0.014
- offset from the most stable computed form (eV per atom) = 0.000